VASP calculation (PBE) on a relaxed structure of LaZr2.

Properties
DFT formation energy ... 180 meV per atom
Energy relative to the lowest polymorph listed for this composition ... 85 meV/atom
V ... 159 Å³/cell

Unit cell a=6.4381 b=6.4381 c=8.0013 alpha=75.34 beta=75.34 gamma=29.80
Closest atoms and distances in Å follow each position.
Atoms (fractional coordinates):
Zr  0.6083  0.6083  0.3001  5 Zr 3.17-3.31, 5 La 3.34-3.45
Zr  0.6692  0.6692  0.6605  8 Zr 3.17-3.38, 4 La 3.35-3.40
Zr  0.9471  0.9471  0.6170  9 Zr 3.25-3.38, 3 La 3.32-3.42
Zr  0.2713  0.2713  0.9264  8 Zr 3.21-3.55, 4 La 3.25-3.51
La  0.0017  0.0017  0.0009  8 Zr 3.25-3.50, 4 La 3.31-3.32
La  0.3357  0.3357  0.3284  4 La 3.31-3.32, 8 Zr 3.34-3.51


VASP calculation (PBE) on a relaxed structure of LaZr.

Properties
DFT formation energy ... 166 meV per atom
Energy relative to the lowest polymorph listed for this composition ... 49 meV/atom
V ... 172 Å³/cell

Unit cell a=3.4068 b=3.4068 c=17.1181 alpha=90.00 beta=90.00 gamma=120.00
Closest atoms and distances in Å follow each position.
Atoms (fractional coordinates):
Zr  0.0000  0.0000  0.6829  9 Zr 3.14-3.41, 3 La 3.43
Zr  0.6667  0.3333  0.1591  6 La 3.39-3.45, 6 Zr 3.41
Zr  0.6667  0.3333  0.8255  9 Zr 3.14-3.41, 3 La 3.48
La  0.0000  0.0000  0.9934  6 La 3.41, 6 Zr 3.45-3.48
La  0.0000  0.0000  0.3201  3 Zr 3.39, 6 La 3.41
La  0.6667  0.3333  0.5191  6 La 3.41, 3 Zr 3.43